(1)
RePbClO4: optimized geometry, PBEsol.

Structure (extended XYZ):
```
14
Lattice="4.359 0.000 0.000 0.000 5.707 0.000 0.000 0.000 9.407" Properties=species:S:1:pos:R:3 pbc="T T T"
Cl 0.712 2.854 5.061
O 0.609 4.245 2.108
O 0.609 1.462 2.108
O 0.621 2.854 8.170
O 2.788 4.315 7.298
Pb 0.904 0.000 6.361
Re 1.070 0.000 1.247
O 2.788 1.392 7.298
O 2.753 2.854 0.426
O 2.801 0.000 1.237
Cl 2.891 0.000 4.345
Pb 3.083 2.854 3.046
O 0.573 0.000 8.981
Re 3.249 2.854 8.159
```

Computed properties:
The uncorrected formation energy comes out at -1.426 eV/atom. The theoretical density comes out at 7.0 Mg/m³. As for the spin magnetization: 0.0 μB/f.u.



(2)
RuPbClO2: optimized geometry, PBEsol.

Structure (extended XYZ):
```
5
Lattice="3.994 0.000 0.000 0.000 3.994 0.000 0.000 0.000 4.727" Properties=species:S:1:pos:R:3 pbc="T T T"
O 1.997 0.000 0.000
Pb 1.997 1.997 2.364
Ru 0.000 0.000 0.000
O 0.000 1.997 0.000
Cl 0.000 0.000 2.364
```

Computed properties:
The uncorrected formation energy comes out at -0.505 eV/atom. The theoretical density comes out at 8.3 Mg/m³. As for the spin magnetization: 0.5 μB/f.u.



(3)
PbS2ClO: optimized geometry, PBEsol.

Structure (extended XYZ):
```
5
Lattice="-0.296 4.811 -2.075 -4.304 -1.384 -2.595 -2.926 1.555 4.024" Properties=species:S:1:pos:R:3 pbc="T T T"
Pb 0.000 0.000 0.000
S -1.463 0.778 2.012
O -3.763 2.491 -0.323
S -2.152 -0.692 -1.297
Cl -0.148 2.406 -1.037
```

Computed properties:
The uncorrected formation energy comes out at 0.964 eV/atom. The theoretical density comes out at 3.8 Mg/m³. As for the spin magnetization: 3.6 μB/f.u.



(4)
SbPbClO2: optimized geometry, PBEsol.

Structure (extended XYZ):
```
10
Lattice="5.438 0.000 0.000 0.000 5.587 0.000 0.000 2.794 6.037" Properties=species:S:1:pos:R:3 pbc="T T T"
Pb 1.359 5.587 4.591
Pb 4.078 2.794 1.447
O 0.000 1.275 0.000
Cl 1.359 2.794 2.942
Cl 4.078 5.587 3.096
O 0.000 4.312 0.000
O 2.719 1.275 0.000
Sb 4.078 2.794 5.049
Sb 1.359 5.587 0.988
O 2.719 4.312 0.000
```

Computed properties:
The uncorrected formation energy comes out at -1.319 eV/atom. The theoretical density comes out at 7.2 Mg/m³. As for the spin magnetization: 0.0 μB/f.u.



(5)
Te2Pb3Cl2O6: optimized geometry, PBEsol.

Structure (extended XYZ):
```
26
Lattice="-5.206 -1.220 1.663 5.581 -4.700 4.595 -0.354 9.206 5.643" Properties=species:S:1:pos:R:3 pbc="T T T"
O -0.432 0.492 8.434
O -0.224 3.130 6.158
O 3.123 3.900 8.188
Te -0.523 -0.873 7.148
Pb -1.462 4.213 7.941
Te -1.999 -1.263 2.244
Pb 1.483 -0.927 3.961
O 0.245 0.156 5.743
Pb 0.049 1.628 1.346
O -2.909 2.501 7.016
O -3.103 -0.613 3.713
Te 2.019 4.550 9.658
Te 0.544 4.159 4.753
Cl -2.596 5.421 5.275
Cl 0.773 6.350 7.074
O 0.667 3.324 8.973
O 2.930 0.785 4.886
O 0.453 2.794 3.467
O -0.646 -0.038 2.928
Cl 2.617 -2.135 6.627
Pb -0.028 1.659 10.555
Pb -1.784 1.322 4.811
Pb 1.805 1.964 7.091
O -1.470 -0.344 0.470
Cl -0.752 -3.063 4.827
O -3.736 -0.875 1.194
```

Computed properties:
The uncorrected formation energy comes out at -1.164 eV/atom. The theoretical density comes out at 7.2 Mg/m³. As for the spin magnetization: 0.0 μB/f.u.



(6)
V3Pb5ClO12: optimized geometry, PBEsol.

Structure (extended XYZ):
```
42
Lattice="7.182 0.000 0.000 0.000 10.405 0.000 0.000 -5.202 9.011" Properties=species:S:1:pos:R:3 pbc="T T T"
Cl 0.000 0.000 0.000
Pb 5.386 3.709 6.909
Cl 3.591 0.000 0.000
O 5.386 1.855 5.464
V 5.386 1.857 3.725
O 1.795 6.601 4.338
O 6.746 0.941 3.230
O 5.386 5.988 1.439
Pb 1.795 7.838 0.242
Pb 5.386 -2.635 8.769
V 1.795 3.345 5.285
O 3.156 8.078 2.430
Pb 3.538 0.000 6.007
O 1.795 5.659 1.126
O 3.156 4.261 5.781
O 6.746 1.934 8.211
O 1.795 3.348 3.547
Pb 5.386 -1.074 2.344
O 5.386 -0.456 7.885
O 0.435 4.261 5.781
V 1.795 8.107 3.471
Pb 0.052 0.000 6.007
O 5.386 6.164 4.466
V 5.386 1.047 8.756
V 1.795 4.155 0.254
O 6.746 -2.876 6.581
O 1.795 1.748 5.905
O 0.435 3.268 0.800
Pb 1.795 1.493 2.102
O 5.386 -1.398 4.673
O 4.026 1.934 8.211
O 4.026 0.941 3.230
O 1.795 -0.786 7.571
O 4.026 -2.876 6.581
O 1.795 -0.962 4.545
O 3.156 3.268 0.800
V 5.386 -2.905 5.540
Pb 1.795 6.276 6.667
O 5.386 3.455 3.105
O 0.435 8.078 2.430
Pb 3.643 5.202 3.004
Pb 7.129 5.202 3.004
```

Computed properties:
The uncorrected formation energy comes out at -1.865 eV/atom. The theoretical density comes out at 7.0 Mg/m³. As for the spin magnetization: 0.0 μB/f.u.



(7)
Pd2Cl2O: optimized geometry, PBEsol.

Structure (extended XYZ):
```
10
Lattice="6.332 0.000 0.000 -3.166 5.829 0.009 0.000 3.431 5.322" Properties=species:S:1:pos:R:3 pbc="T T T"
O 0.000 0.000 0.000
O 3.166 5.488 3.996
Pd 4.749 4.459 4.659
Cl 0.000 2.104 2.410
Pd 3.166 7.374 4.663
Cl 3.166 3.384 1.585
Cl 0.000 5.876 3.745
Pd 3.166 5.658 2.002
Cl 0.000 5.440 0.259
Pd 1.583 4.459 4.659
```

Computed properties:
The uncorrected formation energy comes out at -0.431 eV/atom. The theoretical density comes out at 5.1 Mg/m³. As for the spin magnetization: 0.0 μB/f.u.



(8)
TiPdCl2O: optimized geometry, PBEsol.

Structure (extended XYZ):
```
5
Lattice="3.639 0.000 0.000 0.000 4.824 0.000 0.000 0.000 4.824" Properties=species:S:1:pos:R:3 pbc="T T T"
Pd 1.820 2.412 2.412
Ti 0.000 0.000 0.000
Cl 0.000 0.000 2.412
O 1.820 0.000 0.000
Cl 0.000 2.412 0.000
```

Computed properties:
The uncorrected formation energy comes out at -1.052 eV/atom. The theoretical density comes out at 4.7 Mg/m³. As for the spin magnetization: 0.1 μB/f.u.



(9)
PrSClO4: optimized geometry, PBEsol.

Structure (extended XYZ):
```
28
Lattice="-4.790 3.056 -3.413 -5.508 -2.859 5.169 3.160 4.861 6.057" Properties=species:S:1:pos:R:3 pbc="T T T"
Pr -7.223 2.076 2.255
Cl -2.531 1.825 5.077
O -1.367 3.167 7.601
S -0.113 2.527 2.338
Pr -3.826 2.679 7.531
O -3.862 -0.886 3.736
O -3.275 5.944 4.077
O -7.227 1.286 4.634
O -2.492 5.374 1.402
O -5.657 2.563 5.978
S -4.381 -0.478 2.437
Pr -3.311 2.379 0.281
O 0.090 3.772 3.178
O -1.480 2.495 1.834
O -5.777 0.039 2.564
Cl -4.606 3.233 2.736
O -4.645 -0.316 6.411
O -3.484 0.477 1.775
S -7.024 2.531 5.475
O -7.261 3.650 4.514
O -5.770 1.891 0.212
O 0.124 1.408 3.299
Pr 0.086 2.982 5.558
O -3.653 4.581 6.037
Cl -8.864 -0.301 2.554
O -1.360 5.019 5.249
Cl 1.727 5.359 5.258
S -2.756 5.536 5.376
```

Computed properties:
The uncorrected formation energy comes out at -2.211 eV/atom. The theoretical density comes out at 4.4 Mg/m³. As for the spin magnetization: 0.0 μB/f.u.



(10)
Pr2Ta2Cl2O7: optimized geometry, PBEsol.

Structure (extended XYZ):
```
13
Lattice="-0.144 3.377 -1.999 -4.471 -2.815 -4.433 -3.285 1.732 7.020" Properties=species:S:1:pos:R:3 pbc="T T T"
O -1.223 0.130 0.308
Cl -3.803 1.310 -1.369
O -4.104 -0.362 -4.173
Ta -4.094 4.304 3.710
Pr -2.101 2.531 0.571
O -5.329 -1.423 -2.020
O -6.678 2.164 0.280
Ta -3.806 -2.011 -3.122
O -2.572 3.717 2.608
O -2.236 -1.408 -2.217
Pr -5.799 -0.238 0.017
Cl -4.097 0.983 1.957
O -3.796 2.656 4.760
```

Computed properties:
The uncorrected formation energy comes out at -2.993 eV/atom. The theoretical density comes out at 7.2 Mg/m³. As for the spin magnetization: 0.0 μB/f.u.